Compound: KFeHO2
Source: Alexandria via LeMat-Bulk
Functional: PBE+U
Structure: optimized geometry

Values from the calculation:
* energy: -3.6625 eV/atom
* magnetic moment: 4.0 μB per cell
* DOS at the Fermi energy: 1.29 states/eV/f.u.
* symmetry: P4/mmm

Unit cell a=3.9776 b=3.9776 c=3.4752 alpha=90.00 beta=90.00 gamma=90.00
Last column: nearest neighbours and their distance in Å.
Atoms (fractional coordinates):
1 K 0.0000 0.0000 0.0000  2 H 1.74
2 Fe 0.5000 0.5000 0.0000  8 O 2.64, 4 K 2.81
3 H 0.0000 0.0000 0.5000  2 K 1.74
4 O 0.0000 0.5000 0.5000  2 H 1.99
5 O 0.5000 0.0000 0.5000  2 H 1.99